Record 1
HfScIn2H | GGA-PBE | relaxed

Unit cell a=5.6152 b=3.3673 c=5.6152 alpha=90.00 beta=90.00 gamma=90.00
Closest atoms and distances in Å follow each position.
Fractional positions:
Hf: 0.5000 0.5000 0.5000  8 In 3.27, 2 Hf 3.37
Sc: 0.0000 0.0000 0.0000  2 H 1.68
In: 0.0000 0.0000 0.5000  2 Sc 2.81
In: 0.5000 0.0000 0.0000  2 Sc 2.81
H: 0.0000 0.5000 0.0000  2 Sc 1.68

Summary:
- Crystal system: tetragonal
- Total DFT energy (no corrections): -4.7946 eV/atom

Record 2
HfInHSe2 | GGA-PBE | relaxed

Unit cell a=5.2516 b=5.2516 c=3.9954 alpha=90.00 beta=90.00 gamma=90.00
Closest atoms and distances in Å follow each position.
Fractional positions:
Hf: 0.0000 0.0000 0.0000  2 H 2.00
Se: 0.0000 0.5000 0.0000  2 Hf 2.63
Se: 0.5000 0.0000 0.0000  2 Hf 2.63
In: 0.5000 0.5000 0.5000  8 Se 3.30
H: 0.0000 0.0000 0.5000  2 Hf 2.00

Summary:
- Crystal system: tetragonal
- Total DFT energy (no corrections): -5.1750 eV/atom